The following is a DFT calculation (PBE) of a relaxed EuHgAu crystal.

CIF file:
```
data_EuHgAu
_cell_length_a 4.9148
_cell_length_b 4.9148
_cell_length_c 3.7100
_cell_angle_alpha 90.00
_cell_angle_beta 90.00
_cell_angle_gamma 120.00
_symmetry_space_group_name_H-M 'P -6 m 2'
_symmetry_Int_Tables_number 187
_symmetry_space_group_name_Hall 'P -6 2'
loop_
_atom_site_label
_atom_site_type_symbol
_atom_site_fract_x
_atom_site_fract_y
_atom_site_fract_z
_atom_site_occupancy
Eu1 Eu 0.0000 0.0000 0.0000 1
Hg1 Hg 0.3333 0.6667 0.5000 1
Au1 Au 0.6667 0.3333 0.5000 1
```

## Properties
Total moment   7.16 μB per cell
Formation enthalpy at 0 K   -0.609 eV per atom

---

The following is a DFT calculation (PBE) of a relaxed Ag2HgSbS4 crystal.

CIF file:
```
data_Ag2HgSbS4
_cell_length_a 5.967
_cell_length_b 5.967
_cell_length_c 11.716
_cell_angle_alpha 90.00
_cell_angle_beta 90.00
_cell_angle_gamma 90.00
_symmetry_space_group_name_H-M 'I -4'
_symmetry_Int_Tables_number 82
loop_
_symmetry_equiv_pos_as_xyz
'x,y,z'
'y,-x,-z'
'-x,-y,z'
'-y,x,-z'
'x+1/2,y+1/2,z+1/2'
'y+1/2,-x+1/2,-z+1/2'
'-x+1/2,-y+1/2,z+1/2'
'-y+1/2,x+1/2,-z+1/2'
loop_
_atom_site_label
_atom_site_type_symbol
_atom_site_fract_x
_atom_site_fract_y
_atom_site_fract_z
_atom_site_occupancy
Ag1 Ag 0.000 0.000 0.000 1
Ag2 Ag 0.000 0.500 0.250 1
Hg1 Hg 0.000 0.000 0.500 1
Sb1 Sb 0.000 0.500 0.750 1
S1 S 0.245 0.249 0.873 1
```

## Properties
E_form (uncorrected)   -1.73 kcal/mol of atoms
Total moment   0.00 μB per cell